A relaxed BaO2 crystal, computed with GGA-PBEsol.

Lattice parameters (Å, degrees): 7.833 7.692 8.096 90.00 120.38 90.00
Space group P2_1/c (No. 14)
Asymmetric unit:
Ba 0.003 0.144 0.186 [4 per cell]
Ba 0.458 0.504 0.229 [4 per cell]
O 0.229 0.695 0.695 [4 per cell]
O 0.238 0.208 0.037 [4 per cell]
O 0.276 0.109 0.902 [4 per cell]
O 0.277 0.608 0.877 [4 per cell]

Results
* electronic total energy: -6.04 eV/atom
* raw formation energy: -1.8253 eV per atom
* D(E_F): 0.00 states/eV/cell